Material: LaMgIrPb
Method: DFT, PBE
State: optimized geometry

## Properties
- space-group type = F-43m, No. 216
- ΔE to the lowest computed polymorph (meV/atom) = 0.0
- crystal system = cubic

Cell: 5.0156 5.0156 5.0156 Å, 60.00 60.00 60.00°
Closest atoms and distances in Å follow each position.
Sites, in units of the cell vectors:
Ir1 0.2500 0.2500 0.2500  4 Pb 3.07, 4 La 3.07
La1 0.5000 0.5000 0.5000  4 Mg 3.07, 4 Ir 3.07
Mg1 0.7500 0.7500 0.7500  4 La 3.07, 4 Pb 3.07
Pb1 0.0000 0.0000 0.0000  4 Ir 3.07, 4 Mg 3.07

=====

Material: LaMgIrPb
Method: DFT, PBE
State: optimized geometry

## Properties
- space-group type = F-43m, No. 216
- ΔE to the lowest computed polymorph (meV/atom) = 21.0
- crystal system = cubic

Cell: 5.1063 5.1063 5.1063 Å, 60.00 60.00 60.00°
Closest atoms and distances in Å follow each position.
Sites, in units of the cell vectors:
La1 0.2500 0.2500 0.2500  4 Ir 3.13, 4 Pb 3.13
Pb1 0.0000 0.0000 0.0000  4 La 3.13, 4 Mg 3.13
Mg1 0.7500 0.7500 0.7500  4 Pb 3.13, 4 Ir 3.13
Ir1 0.5000 0.5000 0.5000  4 La 3.13, 4 Mg 3.13